Entry 1:
An optimized crystal structure of TbSm2Y. Source: Alexandria via LeMat-Bulk, functional PBE-GGA.

abc: 11.825 11.825 11.825
angles: 17.60 17.60 17.60
Atoms (fractional coordinates):
Tb 0.000 0.000 0.000
Sm 0.416 0.416 0.416
Sm 0.583 0.583 0.583
Y 0.833 0.833 0.833

**Formation energy from the elements**: 0.26 kcal/mol of atoms
**E**: -5.1219 eV/atom
**Symmetry**: R3m (160)



Entry 2:
An optimized crystal structure of AcAgGe2Au5. Source: Alexandria via LeMat-Bulk, functional PBE-GGA.

abc: 5.127 5.127 7.598
angles: 90.00 90.00 90.00
Atoms (fractional coordinates):
Ac 0.000 0.000 0.000
Ag 0.000 0.000 0.500
Ge 0.500 0.500 0.331
Ge 0.500 0.500 0.669
Au 0.000 0.500 0.291
Au 0.000 0.500 0.709
Au 0.500 0.000 0.291
Au 0.500 0.000 0.709
Au 0.500 0.500 0.000

**Formation energy from the elements**: -5.11 kcal/mol of atoms
**E**: -3.8417 eV/atom
**Symmetry**: P4/mmm (123)



Entry 3:
An optimized crystal structure of TlHgPb2. Source: Alexandria via LeMat-Bulk, functional PBE-GGA.

abc: 4.019 4.019 7.394
angles: 90.00 90.00 90.00
Atoms (fractional coordinates):
Tl 0.000 0.000 0.000
Hg 0.500 0.500 0.229
Pb 0.000 0.000 0.470
Pb 0.500 0.500 0.730

**Formation energy from the elements**: 0.38 kcal/mol of atoms
**E**: -2.5046 eV/atom
**Symmetry**: P4mm (99)



Entry 4:
An optimized crystal structure of K4BO4. Source: Alexandria via LeMat-Bulk, functional PBE-GGA.

abc: 6.205 6.205 6.205
angles: 99.62 99.62 131.74
Atoms (fractional coordinates):
K 0.113 0.716 0.830
K 0.284 0.113 0.397
K 0.716 0.887 0.603
K 0.887 0.284 0.170
B 0.500 0.500 0.000
O 0.309 0.452 0.761
O 0.452 0.691 0.143
O 0.548 0.309 0.857
O 0.691 0.548 0.239

**Raw formation energy**: -1.21 eV per atom
**E**: -4.6395 eV/atom
**Symmetry**: I4/m (87)



Entry 5:
An optimized crystal structure of InTc2As2. Source: Alexandria via LeMat-Bulk, functional PBE-GGA.

abc: 6.614 6.614 6.614
angles: 146.23 146.23 48.51
Atoms (fractional coordinates):
In 0.000 0.000 0.000
Tc 0.383 0.383 0.000
Tc 0.617 0.617 0.000
As 0.250 0.750 0.500
As 0.750 0.250 0.500

**Formation energy from the elements**: 2.50 kcal/mol of atoms
**E**: -6.4453 eV/atom
**Symmetry**: I4/mmm (139)



Entry 6:
An optimized crystal structure of Pm4SnBiC. Source: Alexandria via LeMat-Bulk, functional PBE-GGA.

abc: 8.920 8.920 7.060
angles: 90.00 90.00 133.39
Atoms (fractional coordinates):
Pm 0.000 0.500 0.000
Pm 0.000 0.500 0.500
Pm 0.090 0.910 0.750
Pm 0.406 0.594 0.750
Pm 0.500 0.000 0.000
Pm 0.500 0.000 0.500
Pm 0.594 0.406 0.250
Pm 0.910 0.090 0.250
Sn 0.110 0.890 0.250
Sn 0.890 0.110 0.750
Bi 0.393 0.607 0.250
Bi 0.607 0.393 0.750
C 0.249 0.751 0.750
C 0.751 0.249 0.250

**Formation energy from the elements**: -13.69 kcal/mol of atoms
**E**: -5.7522 eV/atom
**Symmetry**: Cmcm (63)